# SrMg2Sn | Alexandria via LeMat-Bulk | PBE | optimized geometry
data_SrMg2Sn
_cell_length_a 4.847
_cell_length_b 4.847
_cell_length_c 11.414
_cell_angle_alpha 77.74
_cell_angle_beta 77.74
_cell_angle_gamma 90.00
_space_group_name_H-M_alt 'P 1'
_space_group_IT_number 1
_space_group_name_Hall 'P 1'
loop_
_atom_site_label
_atom_site_type_symbol
_atom_site_fract_x
_atom_site_fract_y
_atom_site_fract_z
Sr1 Sr 0.500 0.500 0.000
Sr2 Sr 0.250 0.750 0.500
Mg1 Mg 0.690 0.125 0.250
Mg2 Mg 0.060 0.625 0.250
Mg3 Mg 0.375 0.310 0.750
Mg4 Mg 0.875 0.940 0.750
Sn1 Sn 0.000 0.000 0.000
Sn2 Sn 0.750 0.250 0.500
# crystal system = tetragonal
# electronic total energy = -2.241 eV/atom